<1>
Dy5Y2Tm12 | PBE-GGA | optimized geometry

- DOS at the Fermi energy: 1.4980 states/eV/atom

a = 9.0500 Å, b = 9.0500 Å, c = 8.4141 Å
α = 90.87°, β = 90.87°, γ = 60.45°
Last column: nearest neighbours and their distance in Å.
Fractional coordinates of all 19 atoms:
Dy: 0.0000 0.0000 0.0000  10 Tm 3.53-3.67, 2 Dy 3.69
Dy: 0.2332 0.2332 0.0753  10 Tm 3.34-3.69, 2 Dy 3.65-3.69
Dy: 0.3013 0.3013 0.4918  8 Tm 3.36-3.59, 2 Y 3.52, 1 Dy 3.65
Dy: 0.6987 0.6987 0.5082  8 Tm 3.36-3.59, 2 Y 3.52, 1 Dy 3.65
Dy: 0.7668 0.7668 0.9247  10 Tm 3.34-3.69, 2 Dy 3.65-3.69
Y: 0.3189 0.6811 0.5000  1 Y 3.30, 8 Tm 3.36-3.52, 2 Dy 3.52
Y: 0.6811 0.3189 0.5000  1 Y 3.30, 8 Tm 3.36-3.52, 2 Dy 3.52
Tm: 0.0260 0.6624 0.2539  5 Tm 3.31-3.69, 1 Y 3.41, 5 Dy 3.43-3.69
Tm: 0.0929 0.0929 0.3855  3 Dy 3.36-3.53, 2 Y 3.40, 5 Tm 3.44-3.58
Tm: 0.1810 0.5656 0.8409  4 Dy 3.34-3.67, 6 Tm 3.37-3.69, 1 Y 3.52
Tm: 0.3376 0.9740 0.7461  5 Tm 3.31-3.69, 1 Y 3.41, 5 Dy 3.43-3.69
Tm: 0.4344 0.8190 0.1591  4 Dy 3.34-3.67, 6 Tm 3.37-3.69, 1 Y 3.52
Tm: 0.4430 0.4430 0.1666  7 Tm 3.35-3.41, 2 Dy 3.36-3.55, 2 Y 3.36
Tm: 0.5570 0.5570 0.8334  7 Tm 3.35-3.41, 2 Dy 3.36-3.55, 2 Y 3.36
Tm: 0.5656 0.1810 0.8409  4 Dy 3.34-3.67, 6 Tm 3.37-3.69, 1 Y 3.52
Tm: 0.6624 0.0260 0.2539  5 Tm 3.31-3.69, 1 Y 3.41, 5 Dy 3.43-3.69
Tm: 0.8190 0.4344 0.1591  4 Dy 3.34-3.67, 6 Tm 3.37-3.69, 1 Y 3.52
Tm: 0.9071 0.9071 0.6145  3 Dy 3.36-3.53, 2 Y 3.40, 5 Tm 3.44-3.58
Tm: 0.9740 0.3376 0.7461  5 Tm 3.31-3.69, 1 Y 3.41, 5 Dy 3.43-3.69

=====

<2>
Dy5Y2Tm12 | PBE-GGA | optimized geometry

- DOS at the Fermi energy: 1.4106 states/eV/atom

a = 6.0816 Å, b = 9.2932 Å, c = 10.5332 Å
α = 100.99°, β = 95.61°, γ = 90.08°
Last column: nearest neighbours and their distance in Å.
Fractional coordinates of all 19 atoms:
Dy: 0.0000 0.0000 0.0000  10 Tm 3.50-3.51, 2 Dy 3.51
Dy: 0.1581 0.6320 0.9475  10 Tm 3.50-3.52, 2 Dy 3.51-3.52
Dy: 0.2614 0.0531 0.5791  2 Dy 3.49-3.54, 8 Tm 3.50-3.52, 2 Y 3.52
Dy: 0.7386 0.9469 0.4209  2 Dy 3.49-3.54, 8 Tm 3.50-3.52, 2 Y 3.52
Dy: 0.8419 0.3680 0.0525  10 Tm 3.50-3.52, 2 Dy 3.51-3.52
Y: 0.4206 0.6843 0.5263  9 Tm 3.50-3.53, 1 Y 3.52, 2 Dy 3.52
Y: 0.5794 0.3157 0.4737  9 Tm 3.50-3.53, 1 Y 3.52, 2 Dy 3.52
Tm: 0.0533 0.2110 0.3152  6 Tm 3.50-3.52, 4 Dy 3.50-3.52, 2 Y 3.51-3.52
Tm: 0.1036 0.4214 0.6324  3 Y 3.50-3.53, 2 Dy 3.50-3.51, 7 Tm 3.50-3.52
Tm: 0.2113 0.8427 0.2624  5 Dy 3.50-3.52, 6 Tm 3.51-3.52, 1 Y 3.52
Tm: 0.3156 0.2631 0.8946  7 Tm 3.50-3.51, 5 Dy 3.50-3.52
Tm: 0.3687 0.4735 0.2090  7 Tm 3.50-3.52, 3 Dy 3.50, 2 Y 3.52-3.53
Tm: 0.4736 0.8949 0.8431  7 Tm 3.49-3.51, 4 Dy 3.50-3.52, 1 Y 3.52
Tm: 0.5264 0.1051 0.1569  7 Tm 3.49-3.51, 4 Dy 3.50-3.52, 1 Y 3.52
Tm: 0.6313 0.5265 0.7910  7 Tm 3.50-3.52, 3 Dy 3.50, 2 Y 3.52-3.53
Tm: 0.6844 0.7369 0.1054  7 Tm 3.50-3.51, 5 Dy 3.50-3.52
Tm: 0.7887 0.1573 0.7376  5 Dy 3.50-3.52, 6 Tm 3.51-3.52, 1 Y 3.52
Tm: 0.8964 0.5786 0.3676  3 Y 3.50-3.53, 2 Dy 3.50-3.51, 7 Tm 3.50-3.52
Tm: 0.9467 0.7890 0.6848  6 Tm 3.50-3.52, 4 Dy 3.50-3.52, 2 Y 3.51-3.52

=====

Order of stability, best first: <2>, <1>

=====

<1>
DyY5Tm3 | PBE-GGA | optimized geometry

- DOS at the Fermi energy: 1.4868 states/eV/atom

a = 9.6760 Å, b = 9.6760 Å, c = 6.9963 Å
α = 90.00°, β = 90.00°, γ = 120.00°
Last column: nearest neighbours and their distance in Å.
Fractional coordinates of all 18 atoms:
Dy: 0.0000 0.0000 0.0000  6 Y 3.46, 2 Dy 3.50, 6 Tm 3.87
Dy: 0.0000 0.0000 0.5000  6 Y 3.46, 2 Dy 3.50, 6 Tm 3.87
Y: 0.0000 0.3083 0.2500  5 Tm 3.24-3.53, 2 Dy 3.46
Y: 0.0000 0.6917 0.7500  5 Tm 3.24-3.53, 2 Dy 3.46
Y: 0.3083 0.0000 0.2500  5 Tm 3.24-3.53, 2 Dy 3.46
Y: 0.3083 0.3083 0.7500  5 Tm 3.24-3.53, 2 Dy 3.46
Y: 0.3333 0.6667 0.0000  8 Y 3.50-3.78, 6 Tm 3.57
Y: 0.3333 0.6667 0.5000  8 Y 3.50-3.78, 6 Tm 3.57
Y: 0.6667 0.3333 0.0000  8 Y 3.50-3.78, 6 Tm 3.57
Y: 0.6667 0.3333 0.5000  8 Y 3.50-3.78, 6 Tm 3.57
Y: 0.6917 0.0000 0.7500  5 Tm 3.24-3.53, 2 Dy 3.46
Y: 0.6917 0.6917 0.2500  5 Tm 3.24-3.53, 2 Dy 3.46
Tm: 0.0000 0.3571 0.7500  9 Y 3.24-3.57
Tm: 0.0000 0.6429 0.2500  9 Y 3.24-3.57
Tm: 0.3571 0.0000 0.7500  9 Y 3.24-3.57
Tm: 0.3571 0.3571 0.2500  9 Y 3.24-3.57
Tm: 0.6429 0.0000 0.2500  9 Y 3.24-3.57
Tm: 0.6429 0.6429 0.7500  9 Y 3.24-3.57

=====

<2>
DyY5Tm3 | PBE-GGA | optimized geometry

- DOS at the Fermi energy: 1.5273 states/eV/atom

a = 8.6860 Å, b = 8.6860 Å, c = 11.6685 Å
α = 106.80°, β = 106.80°, γ = 44.99°
Last column: nearest neighbours and their distance in Å.
Fractional coordinates of all 18 atoms:
Dy: 0.1932 0.8068 0.7500  4 Y 3.28-3.55, 4 Tm 3.43-3.56
Dy: 0.8068 0.1932 0.2500  4 Y 3.28-3.55, 4 Tm 3.43-3.56
Y: 0.0217 0.4115 0.7654  2 Tm 3.35-3.60, 6 Y 3.37-3.60
Y: 0.2620 0.3713 0.5496  2 Tm 3.19-3.34, 4 Y 3.33-3.56, 1 Dy 3.55
Y: 0.2997 0.7003 0.2500  4 Tm 3.21-3.44, 2 Dy 3.28-3.37, 4 Y 3.49-3.56
Y: 0.3713 0.2620 0.0496  2 Tm 3.19-3.34, 4 Y 3.33-3.56, 1 Dy 3.55
Y: 0.4115 0.0217 0.2654  2 Tm 3.35-3.60, 6 Y 3.37-3.60
Y: 0.5885 0.9783 0.7346  2 Tm 3.35-3.60, 6 Y 3.37-3.60
Y: 0.6287 0.7380 0.9504  2 Tm 3.19-3.34, 4 Y 3.33-3.56, 1 Dy 3.55
Y: 0.7003 0.2997 0.7500  4 Tm 3.21-3.44, 2 Dy 3.28-3.37, 4 Y 3.49-3.56
Y: 0.7380 0.6287 0.4504  2 Tm 3.19-3.34, 4 Y 3.33-3.56, 1 Dy 3.55
Y: 0.9783 0.5885 0.2346  2 Tm 3.35-3.60, 6 Y 3.37-3.60
Tm: 0.0547 0.1588 0.0135  6 Y 3.34-3.71, 2 Tm 3.41, 1 Dy 3.43
Tm: 0.1588 0.0547 0.5135  6 Y 3.34-3.71, 2 Tm 3.41, 1 Dy 3.43
Tm: 0.5000 0.5000 0.0000  4 Y 3.19-3.21, 2 Tm 3.41, 2 Dy 3.56
Tm: 0.5000 0.5000 0.5000  4 Y 3.19-3.21, 2 Tm 3.41, 2 Dy 3.56
Tm: 0.8412 0.9453 0.4865  6 Y 3.34-3.71, 2 Tm 3.41, 1 Dy 3.43
Tm: 0.9453 0.8412 0.9865  6 Y 3.34-3.71, 2 Tm 3.41, 1 Dy 3.43

=====

Order of stability, best first: <1>, <2>

=====

<1>
Dy12YTm7 | PBE-GGA | optimized geometry

- DOS at the Fermi energy: 0.9332 states/eV/atom

a = 8.6337 Å, b = 8.6337 Å, c = 8.6337 Å
α = 95.02°, β = 95.02°, γ = 95.02°
Last column: nearest neighbours and their distance in Å.
Fractional coordinates of all 20 atoms:
Dy: 0.1470 0.4149 0.4766  2 Tm 3.05-3.06, 2 Dy 3.08-3.33
Dy: 0.1868 0.7503 0.3144  3 Tm 3.32-3.54, 3 Dy 3.33-3.56
Dy: 0.2497 0.6856 0.8132  3 Tm 3.32-3.54, 3 Dy 3.33-3.56
Dy: 0.3144 0.1868 0.7503  3 Tm 3.32-3.54, 3 Dy 3.33-3.56
Dy: 0.4149 0.4766 0.1470  2 Tm 3.05-3.06, 2 Dy 3.08-3.33
Dy: 0.4766 0.1470 0.4149  2 Tm 3.05-3.06, 2 Dy 3.08-3.33
Dy: 0.5234 0.8530 0.5851  2 Tm 3.05-3.06, 2 Dy 3.08-3.33
Dy: 0.5851 0.5234 0.8530  2 Tm 3.05-3.06, 2 Dy 3.08-3.33
Dy: 0.6856 0.8132 0.2497  3 Tm 3.32-3.54, 3 Dy 3.33-3.56
Dy: 0.7503 0.3144 0.1868  3 Tm 3.32-3.54, 3 Dy 3.33-3.56
Dy: 0.8132 0.2497 0.6856  3 Tm 3.32-3.54, 3 Dy 3.33-3.56
Dy: 0.8530 0.5851 0.5234  2 Tm 3.05-3.06, 2 Dy 3.08-3.33
Y: 0.0000 0.0000 0.0000  6 Tm 3.04
Tm: 0.0197 0.0823 0.3516  1 Y 3.04, 2 Dy 3.05-3.32, 1 Tm 3.07
Tm: 0.0823 0.3516 0.0197  1 Y 3.04, 2 Dy 3.05-3.32, 1 Tm 3.07
Tm: 0.3516 0.0197 0.0823  1 Y 3.04, 2 Dy 3.05-3.32, 1 Tm 3.07
Tm: 0.5000 0.5000 0.5000  6 Dy 3.06
Tm: 0.6484 0.9803 0.9177  1 Y 3.04, 2 Dy 3.05-3.32, 1 Tm 3.07
Tm: 0.9177 0.6484 0.9803  1 Y 3.04, 2 Dy 3.05-3.32, 1 Tm 3.07
Tm: 0.9803 0.9177 0.6484  1 Y 3.04, 2 Dy 3.05-3.32, 1 Tm 3.07

=====

<2>
Dy12YTm7 | PBE-GGA | optimized geometry

- DOS at the Fermi energy: 1.1929 states/eV/atom

a = 9.7431 Å, b = 9.7431 Å, c = 9.7431 Å
α = 109.47°, β = 109.47°, γ = 109.47°
Last column: nearest neighbours and their distance in Å.
Fractional coordinates of all 20 atoms:
Dy: 0.0000 0.2535 0.7465  2 Tm 2.81
Dy: 0.0000 0.7465 0.2535  2 Tm 2.81
Dy: 0.2535 0.0000 0.7465  2 Tm 2.81
Dy: 0.2535 0.2535 0.5070  2 Tm 2.81
Dy: 0.2535 0.5070 0.2535  2 Tm 2.81
Dy: 0.2535 0.7465 0.0000  2 Tm 2.81
Dy: 0.4930 0.7465 0.7465  2 Tm 2.81
Dy: 0.5070 0.2535 0.2535  2 Tm 2.81
Dy: 0.7465 0.0000 0.2535  2 Tm 2.81
Dy: 0.7465 0.2535 0.0000  2 Tm 2.81
Dy: 0.7465 0.4930 0.7465  2 Tm 2.81
Dy: 0.7465 0.7465 0.4930  2 Tm 2.81
Y: 0.0000 0.0000 0.0000  12 Dy 4.03
Tm: 0.0000 0.0000 0.5000  6 Dy 2.81
Tm: 0.0000 0.5000 0.0000  6 Dy 2.81
Tm: 0.0000 0.5000 0.5000  12 Dy 3.92-3.98
Tm: 0.5000 0.0000 0.0000  6 Dy 2.81
Tm: 0.5000 0.0000 0.5000  12 Dy 3.92-3.98
Tm: 0.5000 0.5000 0.0000  12 Dy 3.92-3.98
Tm: 0.5000 0.5000 0.5000  6 Dy 2.81

=====

Order of stability, best first: <1>, <2>

=====

<1>
Dy3YTm | PBE-GGA | optimized geometry

- DOS at the Fermi energy: 1.8207 states/eV/atom

a = 6.2545 Å, b = 6.6802 Å, c = 9.1630 Å
α = 72.31°, β = 89.98°, γ = 62.14°
Last column: nearest neighbours and their distance in Å.
Fractional coordinates of all 10 atoms:
Dy: 0.0678 0.1982 0.0497  6 Dy 3.48-3.62, 4 Tm 3.49-3.62, 2 Y 3.50-3.61
Dy: 0.2677 0.7990 0.4493  6 Dy 3.49-3.62, 4 Y 3.50-3.62, 2 Tm 3.51-3.63
Dy: 0.3325 0.9987 0.7508  6 Dy 3.49-3.62, 3 Tm 3.49-3.60, 3 Y 3.49-3.63
Dy: 0.6675 0.0013 0.2492  6 Dy 3.49-3.62, 3 Tm 3.49-3.60, 3 Y 3.49-3.63
Dy: 0.7323 0.2010 0.5507  6 Dy 3.49-3.62, 4 Y 3.50-3.62, 2 Tm 3.51-3.63
Dy: 0.9322 0.8018 0.9503  6 Dy 3.48-3.62, 4 Tm 3.49-3.62, 2 Y 3.50-3.61
Y: 0.1342 0.3997 0.3487  9 Dy 3.49-3.63, 1 Y 3.53, 2 Tm 3.61-3.62
Y: 0.8658 0.6003 0.6513  9 Dy 3.49-3.63, 1 Y 3.53, 2 Tm 3.61-3.62
Tm: 0.4649 0.3999 0.8515  1 Tm 3.49, 9 Dy 3.49-3.63, 2 Y 3.61-3.62
Tm: 0.5351 0.6001 0.1485  1 Tm 3.49, 9 Dy 3.49-3.63, 2 Y 3.61-3.62

=====

<2>
Dy3YTm | PBE-GGA | optimized geometry

- DOS at the Fermi energy: 1.8353 states/eV/atom

a = 6.6939 Å, b = 6.6939 Å, c = 8.5603 Å
α = 106.46°, β = 106.46°, γ = 63.27°
Last column: nearest neighbours and their distance in Å.
Fractional coordinates of all 10 atoms:
Dy: 0.0601 0.0601 0.2401  2 Tm 3.40, 2 Y 3.51, 6 Dy 3.53-3.54
Dy: 0.0955 0.5948 0.3805  7 Dy 3.44-3.54, 2 Tm 3.54, 3 Y 3.55-3.59
Dy: 0.4052 0.9045 0.6195  7 Dy 3.44-3.54, 2 Tm 3.54, 3 Y 3.55-3.59
Dy: 0.5948 0.0955 0.3805  7 Dy 3.44-3.54, 2 Tm 3.54, 3 Y 3.55-3.59
Dy: 0.9045 0.4052 0.6195  7 Dy 3.44-3.54, 2 Tm 3.54, 3 Y 3.55-3.59
Dy: 0.9399 0.9399 0.7599  2 Tm 3.40, 2 Y 3.51, 6 Dy 3.53-3.54
Y: 0.4421 0.4421 0.7682  2 Tm 3.46, 8 Dy 3.51-3.59, 1 Y 3.74
Y: 0.5579 0.5579 0.2318  2 Tm 3.46, 8 Dy 3.51-3.59, 1 Y 3.74
Tm: 0.2450 0.2450 0.0001  6 Dy 3.40-3.54, 2 Y 3.46, 2 Tm 3.51
Tm: 0.7550 0.7550 0.9999  6 Dy 3.40-3.54, 2 Y 3.46, 2 Tm 3.51

=====

Order of stability, best first: <1>, <2>